## ZnH3Au (GGA-PBE)

Data for a relaxed structure of ZnH3Au.

Structure (extended XYZ):
```
5
Lattice="3.654 0.000 0.000 0.000 3.654 0.000 0.000 0.000 3.654" Properties=species:S:1:pos:R:3 pbc="T T T"
H 0.000 1.827 0.000
H 0.000 0.000 1.827
H 1.827 0.000 0.000
Zn 0.000 0.000 0.000
Au 1.827 1.827 1.827
```

Output
energy above the most stable polymorph in this dataset: 264 meV/atom
SG: No. 221
spin magnetization: 0.00 μB/cell
density: 9.035 g/cm³
calculated total energy: -10.952 eV per cell